Entry 1:
DFT (PBE) results for a relaxed structure of RbTaSb.

a = 3.6272 Å, b = 4.9395 Å, c = 13.0739 Å
α = 82.73°, β = 88.16°, γ = 68.42°
Closest atoms and distances in Å follow each position.
Fractional coordinates of all 6 atoms:
Ta  0.1415  0.2245  0.9584  5 Sb 2.85-2.96, 3 Ta 2.85-2.88
Ta  0.8585  0.7755  0.0416  5 Sb 2.85-2.96, 3 Ta 2.85-2.88
Sb  0.4207  0.6886  0.8695  5 Ta 2.85-2.96
Sb  0.5793  0.3114  0.1305  5 Ta 2.85-2.96
Rb  0.6990  0.1797  0.6693  2 Rb 3.63, 3 Sb 3.71-3.72
Rb  0.3010  0.8203  0.3307  2 Rb 3.63, 3 Sb 3.71-3.72

M_tot in μB per formula unit: 0.00
Electronic total energy in eV for the cell shown: -33.92
Relative energy among the computed polymorphs in meV per atom: 60
ΔE_f (raw) in eV/atom: -0.0064

***

Entry 2:
DFT (PBE) results for a relaxed structure of Rb3TaSb.

a = 6.9791 Å, b = 6.9791 Å, c = 6.9791 Å
α = 90.00°, β = 90.00°, γ = 90.00°
Closest atoms and distances in Å follow each position.
Fractional coordinates of all 5 atoms:
Rb  0.5000  0.0000  0.0000  2 Sb 3.49
Rb  0.0000  0.5000  0.0000  2 Sb 3.49
Rb  0.0000  0.0000  0.5000  2 Sb 3.49
Ta  0.5000  0.5000  0.5000  12 Rb 4.93
Sb  0.0000  0.0000  0.0000  6 Rb 3.49

M_tot in μB per formula unit: 3.00
Electronic total energy in eV for the cell shown: -12.61
Relative energy among the computed polymorphs in meV per atom: 0
ΔE_f (raw) in eV/atom: 1.2540

***

Entry 3:
DFT (PBE) results for a relaxed structure of RbTaSb.

a = 3.6227 Å, b = 4.8835 Å, c = 13.4220 Å
α = 92.95°, β = 94.50°, γ = 111.72°
Closest atoms and distances in Å follow each position.
Fractional coordinates of all 6 atoms:
Ta  0.8088  0.6214  0.9309  4 Sb 2.75-2.84, 3 Ta 2.79-3.06
Ta  0.5374  0.0272  0.0237  3 Ta 2.79-3.06, 4 Sb 2.95-2.98
Sb  0.8907  0.6666  0.1380  3 Ta 2.76-2.95
Sb  0.0616  0.1710  0.8582  5 Ta 2.75-2.98
Rb  0.6791  0.1387  0.3288  2 Rb 3.62, 3 Sb 3.65-3.67
Rb  0.2767  0.7149  0.6601  2 Rb 3.62, 3 Sb 3.69-3.78

M_tot in μB per formula unit: 0.00
Electronic total energy in eV for the cell shown: -33.39
Relative energy among the computed polymorphs in meV per atom: 149
ΔE_f (raw) in eV/atom: 0.0828